Entry from Alexandria: crystalline TbGdBeNi at its relaxed geometry (PBE-GGA).

Calculated values
total moment = 7.05 μB/f.u.
D(E_F) = 0.661 states/eV/atom
DFT formation energy = -0.1058 eV/atom

abc: 6.8361 6.8361 6.8361
angles: 90.00 90.00 90.00
Element x y z (fractional)
Tb: 0.0000 0.0000 0.0000
Tb: 0.0000 0.5000 0.5000
Tb: 0.5000 0.0000 0.5000
Tb: 0.5000 0.5000 0.0000
Gd: 0.0000 0.0000 0.5000
Gd: 0.0000 0.5000 0.0000
Gd: 0.5000 0.0000 0.0000
Gd: 0.5000 0.5000 0.5000
Be: 0.2500 0.2500 0.7500
Be: 0.2500 0.7500 0.2500
Be: 0.7500 0.2500 0.2500
Be: 0.7500 0.7500 0.7500
Ni: 0.2500 0.2500 0.2500
Ni: 0.2500 0.7500 0.7500
Ni: 0.7500 0.2500 0.7500
Ni: 0.7500 0.7500 0.2500

***

Entry from Alexandria: crystalline La2NdTl3Se6 at its relaxed geometry (PBE-GGA).

Calculated values
formation energy (no corrections) = -1432 meV per atom
total moment = 0.00 μB/f.u.
D(E_F) = 0.000 states/eV/atom

abc: 7.6085 7.6085 8.1202
angles: 98.99 98.99 119.99
Element x y z (fractional)
La: 0.1667 0.8333 0.0000
La: 0.8333 0.1667 0.0000
Nd: 0.5000 0.5000 0.0000
Tl: 0.0000 0.0000 0.5000
Tl: 0.3333 0.6667 0.5000
Tl: 0.6667 0.3333 0.5000
Se: 0.0999 0.4296 0.7891
Se: 0.2410 0.2410 0.2119
Se: 0.4296 0.0999 0.7891
Se: 0.5704 0.9001 0.2109
Se: 0.7590 0.7590 0.7881
Se: 0.9001 0.5704 0.2109

***

Entry from Alexandria: crystalline K2Ag3F10 at its relaxed geometry (PBE-GGA).

Calculated values
formation energy (no corrections) = -1558 meV per atom
total moment = 1.68 μB/f.u.
D(E_F) = 0.382 states/eV/atom

abc: 10.3742 10.3742 8.4383
angles: 110.06 110.06 36.59
Element x y z (fractional)
K: 0.1178 0.1178 0.2253
K: 0.2120 0.2120 0.8354
K: 0.7880 0.7880 0.1646
K: 0.8822 0.8822 0.7747
Ag: 0.2450 0.7550 0.5000
Ag: 0.3161 0.3161 0.4721
Ag: 0.4190 0.4190 0.0185
Ag: 0.5810 0.5810 0.9815
Ag: 0.6839 0.6839 0.5279
Ag: 0.7550 0.2450 0.5000
F: 0.0000 0.5000 0.5000
F: 0.0127 0.0127 0.6844
F: 0.1199 0.5735 0.0043
F: 0.1337 0.6391 0.4564
F: 0.2597 0.2597 0.2221
F: 0.2960 0.7040 0.0000
F: 0.3609 0.8663 0.5436
F: 0.3667 0.3667 0.7251
F: 0.4265 0.8801 0.9957
F: 0.4809 0.4809 0.3195
F: 0.5000 0.0000 0.5000
F: 0.5191 0.5191 0.6805
F: 0.5735 0.1199 0.0043
F: 0.6333 0.6333 0.2749
F: 0.6391 0.1337 0.4564
F: 0.7040 0.2960 0.0000
F: 0.7403 0.7403 0.7779
F: 0.8663 0.3609 0.5436
F: 0.8801 0.4265 0.9957
F: 0.9873 0.9873 0.3156

***

Entry from Alexandria: crystalline Pu3Ga4Pt4 at its relaxed geometry (PBE-GGA).

Calculated values
total moment = 5.81 μB/f.u.
D(E_F) = 1.770 states/eV/atom
DFT formation energy = -0.1983 eV/atom

abc: 14.4067 14.4067 14.4067
angles: 164.94 163.05 22.74
Element x y z (fractional)
Pu: 0.0000 0.0000 0.0000
Pu: 0.0614 0.5614 0.5000
Pu: 0.9386 0.4386 0.5000
Ga: 0.1462 0.1462 0.0000
Ga: 0.3045 0.8045 0.5000
Ga: 0.6955 0.1955 0.5000
Ga: 0.8538 0.8538 0.0000
Pt: 0.2419 0.2419 0.0000
Pt: 0.4057 0.9057 0.5000
Pt: 0.5943 0.0943 0.5000
Pt: 0.7581 0.7581 0.0000